Entry 1:
DFT (GGA-PBE) results for ZrTl2VNi after structural relaxation.

For the formation energy, the calculation gives 0.835 eV per atom.

The structure belongs to space group P4/mmm (No. 123); the cell edges are 5.113, 5.113 and 4.302 Å and the angles 90.00°, 90.00° and 90.00°. The asymmetric unit holds Zr at (0.000, 0.000, 0.000), Tl at (0.000, 0.500, 0.500), V at (0.500, 0.500, 0.500) and Ni at (0.500, 0.500, 0.000).

---

Entry 2:
DFT (GGA-PBE) results for Nb2Zn2Pd after structural relaxation.

For the formation energy, the calculation gives -0.043 eV per atom.

The structure belongs to space group P4/mbm (No. 127); the cell edges are 6.520, 6.520 and 3.823 Å and the angles 90.00°, 90.00° and 90.00°. The asymmetric unit holds Nb at (0.167, 0.333, 0.000), Zn at (0.134, 0.634, 0.500) and Pd at (0.000, 0.000, 0.500).

---

Entry 3:
DFT (GGA-PBE) results for BaSrLa2 after structural relaxation.

For the formation energy, the calculation gives 0.205 eV per atom.

The structure belongs to space group P4/mmm (No. 123); the cell edges are 3.886, 3.886 and 11.935 Å and the angles 90.00°, 90.00° and 90.00°. The asymmetric unit holds Ba at (0.000, 0.000, 0.000), Sr at (0.000, 0.000, 0.500) and La at (0.500, 0.500, 0.252).

---

Entry 4:
DFT (GGA-PBE) results for UAsPdSe after structural relaxation.

As for the formation energy (no corrections): -2.860 eV per formula unit.

The structure belongs to space group P4/nmm (No. 129, origin choice 2); the cell edges are 4.103, 4.103 and 9.239 Å and the angles 90.00°, 90.00° and 90.00°. The asymmetric unit holds U at (0.250, 0.250, 0.232), As at (0.250, 0.250, 0.686), Pd at (0.250, 0.750, 0.500) and Se at (0.250, 0.750, 0.000).

---

Entry 5:
DFT (GGA-PBE) results for Pr2As4Ir3Rh after structural relaxation.

For the formation energy, the calculation gives -0.801 eV per atom.

The structure belongs to space group P-4m2 (No. 115); the cell edges are 4.337, 4.337 and 10.013 Å and the angles 90.00°, 90.00° and 90.00°. The asymmetric unit holds Pr at (0.000, 0.500, 0.247), As at (0.000, 0.000, 0.000), As at (0.000, 0.500, 0.636), As at (0.500, 0.500, 0.000), Ir at (0.000, 0.500, 0.881), Ir at (0.500, 0.500, 0.500) and Rh at (0.000, 0.000, 0.500).

---

Entry 6:
DFT (GGA-PBE) results for La2Ga3HgPd4 after structural relaxation.

For the formation energy, the calculation gives -0.733 eV per atom.

The structure belongs to space group P-4m2 (No. 115); the cell edges are 4.305, 4.305 and 11.181 Å and the angles 90.00°, 90.00° and 90.00°. The asymmetric unit holds La at (0.000, 0.500, 0.244), Ga at (0.000, 0.500, 0.880), Ga at (0.500, 0.500, 0.500), Hg at (0.000, 0.000, 0.500), Pd at (0.000, 0.000, 0.000), Pd at (0.000, 0.500, 0.656) and Pd at (0.500, 0.500, 0.000).

---

Entry 7:
DFT (GGA-PBE) results for LaPtAu3 after structural relaxation.

For the formation energy, the calculation gives -0.121 eV per atom.

The structure belongs to space group Pm-3m (No. 221); the cell edges are 5.086, 5.086 and 5.086 Å and the angles 90.00°, 90.00° and 90.00°. The asymmetric unit holds La at (0.000, 0.000, 0.000), Pt at (0.500, 0.500, 0.500) and Au at (0.000, 0.500, 0.500).

---

Entry 8:
DFT (GGA-PBE) results for KBaRh2 after structural relaxation.

For the formation energy, the calculation gives 0.596 eV per atom.

The structure belongs to space group Fm-3m (No. 225); the cell edges are 7.348, 7.348 and 7.348 Å and the angles 90.00°, 90.00° and 90.00°. The asymmetric unit holds K at (0.000, 0.000, 0.000), Ba at (0.000, 0.000, 0.500) and Rh at (0.250, 0.250, 0.250).

---

Entry 9:
DFT (GGA-PBE) results for ThTlZnPd after structural relaxation.

For the formation energy, the calculation gives -0.389 eV per atom.

The structure belongs to space group F-43m (No. 216); the cell edges are 7.051, 7.051 and 7.051 Å and the angles 90.00°, 90.00° and 90.00°. The asymmetric unit holds Th at (0.000, 0.000, 0.000), Tl at (0.000, 0.000, 0.500), Zn at (0.250, 0.250, 0.250) and Pd at (0.250, 0.250, 0.750).

---

Entry 10:
DFT (GGA-PBE) results for MgReTe after structural relaxation.

As for the formation energy (no corrections): 1.552 eV per formula unit.

The structure belongs to space group P-6m2 (No. 187); the cell edges are 4.4930, 4.4930 and 3.4464 Å and the angles 90.00°, 90.00° and 120.00°. The asymmetric unit holds Mg at (0.0000, 0.0000, 0.0000), Re at (0.3333, 0.6667, 0.5000) and Te at (0.6667, 0.3333, 0.5000).

---

Entry 11:
DFT (GGA-PBE) results for SmY4Ho7 after structural relaxation.

For the formation energy, the calculation gives 0.278 eV per atom.

The structure belongs to space group C2/m (No. 12); the cell edges are 12.025, 5.859 and 12.680 Å and the angles 90.00°, 118.21° and 90.00°. The asymmetric unit holds Sm at (0.000, 0.000, 0.000), Y at (0.133, 0.500, 0.775), Y at (0.248, 0.000, 0.683), Ho at (0.000, 0.500, 0.000), Ho at (0.061, 0.000, 0.326), Ho at (0.134, 0.500, 0.502) and Ho at (0.211, 0.000, 0.923).

---

Entry 12:
DFT (GGA-PBE) results for TlTc2Pt after structural relaxation.

For the formation energy, the calculation gives 0.549 eV per atom.

The structure belongs to space group Fm-3m (No. 225); the cell edges are 6.429, 6.429 and 6.429 Å and the angles 90.00°, 90.00° and 90.00°. The asymmetric unit holds Tl at (0.000, 0.000, 0.000), Tc at (0.250, 0.250, 0.250) and Pt at (0.000, 0.000, 0.500).

---

no.,mass density (g/cm³),VASP energy (eV per atom)
1,9.0,-4.801
2,8.6,-5.619
3,4.6,-3.160
4,10.6,-6.869
5,11.1,-7.010
6,8.9,-4.734
7,11.7,-4.281
8,6.4,-3.834
9,11.5,-4.452
10,9.3,-5.211
11,7.0,-4.941
12,14.9,-6.735